First-principles (PBE-GGA) data for crystalline ScSi2Ir at its relaxed geometry, as listed in Alexandria via LeMat-Bulk.

As for the space group: No. 12. The calculation puts the uncorrected formation energy at -534.3 meV/atom. Its total energy is -0.5177 Ry per atom.

Structure (POSCAR):
```
ScSi2Ir
1.0
2.798 -2.798 0.000
2.798 2.798 0.000
-0.017 0.000 3.820
Sc Si Ir
1 2 1
direct
0.000 0.000 0.000 Sc
0.000 0.500 0.500 Si
0.500 0.000 0.500 Si
0.500 0.500 0.000 Ir
```